1.
First-principles (meta-GGA SCAN) data for a PBEsol-optimized structure of BaMn3Be, as listed in Alexandria via LeMat-Bulk.

Cell lengths 4.9296, 4.9296, 4.9296 Å; angles 90.00, 90.00, 90.00 degrees
Space group Pm-3m (No. 221)
Asymmetric unit:
Ba  0.0000  0.0000  0.0000
Mn  0.0000  0.0000  0.5000
Be  0.5000  0.5000  0.5000

Output
- DFT formation energy (eV per atom) = 2.2535

2.
First-principles (meta-GGA SCAN) data for a PBEsol-optimized structure of BaMnBe3, as listed in Alexandria via LeMat-Bulk.

Cell lengths 4.4574, 4.4574, 4.4574 Å; angles 90.00, 90.00, 90.00 degrees
Space group Pm-3m (No. 221)
Asymmetric unit:
Ba  0.0000  0.0000  0.0000
Mn  0.5000  0.5000  0.5000
Be  0.0000  0.5000  0.5000

Output
- DFT formation energy (eV per atom) = 0.6186

3.
First-principles (meta-GGA SCAN) data for a PBEsol-optimized structure of Ba3MnBe, as listed in Alexandria via LeMat-Bulk.

Cell lengths 5.8334, 5.8334, 5.8334 Å; angles 90.00, 90.00, 90.00 degrees
Space group Pm-3m (No. 221)
Asymmetric unit:
Ba  0.0000  0.0000  0.5000
Mn  0.0000  0.0000  0.0000
Be  0.5000  0.5000  0.5000

Output
- DFT formation energy (eV per atom) = 0.8007

Final energy (eV per atom)
-17.48, -13.55, -27.45
N(E_F) (states/eV per cell)
4.0, 3.7, 4.4